An optimized crystal structure of RhPb2WO6, computed with GGA+U.

POSCAR file:
```
RhPb2WO6
1.0
5.582 0.000 0.073
0.000 5.490 0.000
0.150 0.000 9.111
Rh Pb W O
2 4 2 12
direct
0.500 0.000 0.000
0.000 0.500 0.500
0.001 0.008 0.244
0.501 0.492 0.744
0.999 0.992 0.756
0.499 0.508 0.256
0.500 0.000 0.500
0.000 0.500 0.000
0.283 0.697 0.042
0.783 0.803 0.542
0.717 0.303 0.958
0.217 0.197 0.458
0.306 0.708 0.499
0.806 0.792 0.999
0.694 0.292 0.501
0.194 0.208 0.001
0.933 0.452 0.214
0.433 0.048 0.714
0.067 0.548 0.786
0.567 0.952 0.286
```

Symmetry: P2_1/c (14)
D(E_F) in states/eV/cell: 2.34
DFT total energy in eV/atom: -6.448